1.
SCAN YBeRh, PBEsol geometry; N(E_F) = 1.454 states/eV per cell; formation energy from the elements = -208.7 kJ/mol of formula units; energy above the most stable polymorph in this dataset = 0.0 meV per atom
1.0
-3.138 0.846 -2.095
-0.385 -1.251 3.638
0.140 3.723 1.295
Y Be Rh
1 1 1
direct
0.667 0.333 0.500
0.000 0.000 0.000
0.333 0.667 0.000

2.
SCAN YBe2Rh, PBEsol geometry; N(E_F) = 2.434 states/eV per cell; formation energy from the elements = -228.6 kJ/mol of formula units; energy above the most stable polymorph in this dataset = 0.0 meV per atom
1.0
-3.697 -1.011 0.056
-1.088 -3.185 1.833
-2.223 1.123 4.640
Be Rh Y
2 1 1
direct
0.196 0.196 0.411
0.804 0.804 0.589
0.500 0.500 0.500
0.000 0.000 0.000

3.
SCAN Y2BeRh, PBEsol geometry; N(E_F) = 2.246 states/eV per cell; formation energy from the elements = -220.4 kJ/mol of formula units
1.0
3.928 0.000 0.000
0.000 3.940 0.000
-1.964 0.000 5.296
Y Rh Be
2 1 1
direct
0.110 0.000 0.221
0.391 0.500 0.782
0.693 0.500 0.386
0.808 0.000 0.615

| no. | raw total energy (eV for the cell shown) |
| --- | --- |
| 1 | -68.13 |
| 2 | -72.69 |
| 3 | -96.10 |